# SbTeAs2Pb, optimized geometry, DFT PBE
data_SbTeAs2Pb
_chemical_formula_sum 'Sb1 Te1 As2 Pb1'
_space_group_name_H-M_alt 'P 4/m m m'
_space_group_IT_number 123
_space_group_name_Hall '-P 4 2'
_cell_length_a 5.227
_cell_length_b 5.227
_cell_length_c 6.130
_cell_angle_alpha 90.00
_cell_angle_beta 90.00
_cell_angle_gamma 90.00
loop_
_atom_site_label
_atom_site_type_symbol
_atom_site_fract_x
_atom_site_fract_y
_atom_site_fract_z
Sb1 Sb 0.000 0.000 0.000
Te1 Te 0.500 0.500 0.500
As1 As 0.000 0.500 0.000
Pb1 Pb 0.000 0.000 0.500
# * raw total energy: -3.354 eV per atom
# * raw formation energy: 0.70 eV per atom

=====

# Th6Sb3As2Pb, optimized geometry, DFT PBE
data_Th6Sb3As2Pb
_chemical_formula_sum 'Th12 Sb6 As4 Pb2'
_space_group_name_H-M_alt 'C 1 2/m 1'
_space_group_IT_number 12
_space_group_name_Hall '-C 2y'
_cell_length_a 19.360
_cell_length_b 4.423
_cell_length_c 8.905
_cell_angle_alpha 90.00
_cell_angle_beta 103.65
_cell_angle_gamma 90.00
loop_
_atom_site_label
_atom_site_type_symbol
_atom_site_fract_x
_atom_site_fract_y
_atom_site_fract_z
Th1 Th 0.009 0.000 0.257
Th2 Th 0.170 0.500 0.105
Th3 Th 0.172 0.500 0.571
Sb1 Sb 0.000 0.500 0.500
Sb2 Sb 0.162 0.000 0.834
As1 As 0.168 0.000 0.336
Pb1 Pb 0.000 0.500 0.000
# * raw total energy: -6.771 eV per atom
# * raw formation energy: -0.95 eV per atom

=====

# Tm4Sb2AsPb, optimized geometry, DFT PBE
data_Tm4Sb2AsPb
_chemical_formula_sum 'Tm4 Sb2 As1 Pb1'
_space_group_name_H-M_alt 'P 1 2/m 1'
_space_group_IT_number 10
_space_group_name_Hall '-P 2y'
_cell_length_a 7.299
_cell_length_b 4.232
_cell_length_c 7.608
_cell_angle_alpha 90.00
_cell_angle_beta 108.85
_cell_angle_gamma 90.00
loop_
_atom_site_label
_atom_site_type_symbol
_atom_site_fract_x
_atom_site_fract_y
_atom_site_fract_z
Tm1 Tm 0.237 0.000 0.234
Tm2 Tm 0.246 0.500 0.764
Sb1 Sb 0.500 0.000 0.000
Sb2 Sb 0.500 0.500 0.500
As1 As 0.000 0.500 0.000
Pb1 Pb 0.000 0.000 0.500
# * raw total energy: -5.255 eV per atom
# * raw formation energy: -0.94 eV per atom

=====

# Tm4SbAsPb2, optimized geometry, DFT PBE
data_Tm4SbAsPb2
_chemical_formula_sum 'Tm4 Sb1 As1 Pb2'
_space_group_name_H-M_alt 'P 1 2/m 1'
_space_group_IT_number 10
_space_group_name_Hall '-P 2y'
_cell_length_a 7.143
_cell_length_b 4.090
_cell_length_c 8.032
_cell_angle_alpha 90.00
_cell_angle_beta 106.97
_cell_angle_gamma 90.00
loop_
_atom_site_label
_atom_site_type_symbol
_atom_site_fract_x
_atom_site_fract_y
_atom_site_fract_z
Tm1 Tm 0.228 0.000 0.219
Tm2 Tm 0.246 0.500 0.773
Sb1 Sb 0.500 0.000 0.000
As1 As 0.000 0.500 0.000
Pb1 Pb 0.000 0.000 0.500
Pb2 Pb 0.500 0.500 0.500
# * raw total energy: -5.053 eV per atom
# * raw formation energy: -0.79 eV per atom

=====

# ScAsPb, optimized geometry, DFT PBE
data_ScAsPb
_chemical_formula_sum 'Sc4 As4 Pb4'
_space_group_name_H-M_alt 'F -4 3 m'
_space_group_IT_number 216
_space_group_name_Hall 'F -4 2 3'
_cell_length_a 6.817
_cell_length_b 6.817
_cell_length_c 6.817
_cell_angle_alpha 90.00
_cell_angle_beta 90.00
_cell_angle_gamma 90.00
loop_
_atom_site_label
_atom_site_type_symbol
_atom_site_fract_x
_atom_site_fract_y
_atom_site_fract_z
Sc1 Sc 0.000 0.000 0.000
As1 As 0.250 0.250 0.250
Pb1 Pb 0.250 0.250 0.750
# * raw total energy: -5.050 eV per atom
# * formation enthalpy at 0 K: -15 kJ/mol of atoms

=====

# Sc2As2Pb, optimized geometry, DFT PBE
data_Sc2As2Pb
_chemical_formula_sum 'Sc4 As4 Pb2'
_space_group_name_H-M_alt 'P 4/m b m'
_space_group_IT_number 127
_space_group_name_Hall '-P 4 2ab'
_cell_length_a 7.787
_cell_length_b 7.787
_cell_length_c 3.629
_cell_angle_alpha 90.00
_cell_angle_beta 90.00
_cell_angle_gamma 90.00
loop_
_atom_site_label
_atom_site_type_symbol
_atom_site_fract_x
_atom_site_fract_y
_atom_site_fract_z
Sc1 Sc 0.148 0.352 0.000
As1 As 0.146 0.646 0.500
Pb1 Pb 0.000 0.000 0.500
# * raw total energy: -5.871 eV per atom
# * formation enthalpy at 0 K: -71 kJ/mol of atoms

=====

# ScAs4Pb, optimized geometry, DFT PBE
data_ScAs4Pb
_chemical_formula_sum 'Sc4 As16 Pb4'
_space_group_name_H-M_alt 'F -4 3 m'
_space_group_IT_number 216
_space_group_name_Hall 'F -4 2 3'
_cell_length_a 8.046
_cell_length_b 8.046
_cell_length_c 8.046
_cell_angle_alpha 90.00
_cell_angle_beta 90.00
_cell_angle_gamma 90.00
loop_
_atom_site_label
_atom_site_type_symbol
_atom_site_fract_x
_atom_site_fract_y
_atom_site_fract_z
Sc1 Sc 0.000 0.000 0.000
As1 As 0.127 0.127 0.627
Pb1 Pb 0.250 0.250 0.250
# * raw total energy: -4.721 eV per atom
# * formation enthalpy at 0 K: 5 kJ/mol of atoms

=====

# ScAsPb, optimized geometry, DFT PBE
data_ScAsPb
_chemical_formula_sum 'Sc1 As1 Pb1'
_space_group_name_H-M_alt 'P -6 m 2'
_space_group_IT_number 187
_space_group_name_Hall 'P -6 2'
_cell_length_a 4.5315
_cell_length_b 4.5315
_cell_length_c 4.3664
_cell_angle_alpha 90.00
_cell_angle_beta 90.00
_cell_angle_gamma 120.00
loop_
_atom_site_label
_atom_site_type_symbol
_atom_site_fract_x
_atom_site_fract_y
_atom_site_fract_z
Sc1 Sc 0.0000 0.0000 0.0000
As1 As 0.3333 0.6667 0.0000
Pb1 Pb 0.6667 0.3333 0.5000
# * raw total energy: -5.255 eV per atom
# * formation enthalpy at 0 K: -35 kJ/mol of atoms

=====

# ScAs2Pb, optimized geometry, DFT PBE
data_ScAs2Pb
_chemical_formula_sum 'Sc2 As4 Pb2'
_space_group_name_H-M_alt 'I m m m'
_space_group_IT_number 71
_space_group_name_Hall '-I 2 2'
_cell_length_a 4.198
_cell_length_b 5.444
_cell_length_c 8.087
_cell_angle_alpha 90.00
_cell_angle_beta 90.00
_cell_angle_gamma 90.00
loop_
_atom_site_label
_atom_site_type_symbol
_atom_site_fract_x
_atom_site_fract_y
_atom_site_fract_z
Sc1 Sc 0.000 0.000 0.000
As1 As 0.000 0.500 0.267
Pb1 Pb 0.000 0.000 0.500
# * raw total energy: -5.110 eV per atom
# * formation enthalpy at 0 K: -27 kJ/mol of atoms

=====

# ScAsPb, optimized geometry, DFT PBE
data_ScAsPb
_chemical_formula_sum 'Sc1 As1 Pb1'
_space_group_name_H-M_alt 'P 3 m 1'
_space_group_IT_number 156
_space_group_name_Hall 'P 3 -2"'
_cell_length_a 3.9213
_cell_length_b 3.9213
_cell_length_c 5.9266
_cell_angle_alpha 90.00
_cell_angle_beta 90.00
_cell_angle_gamma 120.00
loop_
_atom_site_label
_atom_site_type_symbol
_atom_site_fract_x
_atom_site_fract_y
_atom_site_fract_z
Sc1 Sc 0.0000 0.0000 0.0000
As1 As 0.6667 0.3333 0.2244
Pb1 Pb 0.3333 0.6667 0.5882
# * raw total energy: -5.190 eV per atom
# * formation enthalpy at 0 K: -28 kJ/mol of atoms

=====

# ScAs2Pb, optimized geometry, DFT PBE
data_ScAs2Pb
_chemical_formula_sum 'Sc1 As2 Pb1'
_space_group_name_H-M_alt 'P 4 m m'
_space_group_IT_number 99
_space_group_name_Hall 'P 4 -2'
_cell_length_a 3.985
_cell_length_b 3.985
_cell_length_c 6.093
_cell_angle_alpha 90.00
_cell_angle_beta 90.00
_cell_angle_gamma 90.00
loop_
_atom_site_label
_atom_site_type_symbol
_atom_site_fract_x
_atom_site_fract_y
_atom_site_fract_z
Sc1 Sc 0.000 0.000 0.000
As1 As 0.000 0.000 0.470
As2 As 0.500 0.500 0.019
Pb1 Pb 0.500 0.500 0.557
# * raw total energy: -5.337 eV per atom
# * formation enthalpy at 0 K: -48 kJ/mol of atoms

=====

# ScAs2Pb, optimized geometry, DFT PBE
data_ScAs2Pb
_chemical_formula_sum 'Sc1 As2 Pb1'
_space_group_name_H-M_alt 'P 1 2/m 1'
_space_group_IT_number 10
_space_group_name_Hall '-P 2y'
_cell_length_a 3.420
_cell_length_b 3.759
_cell_length_c 7.537
_cell_angle_alpha 90.00
_cell_angle_beta 91.02
_cell_angle_gamma 90.00
loop_
_atom_site_label
_atom_site_type_symbol
_atom_site_fract_x
_atom_site_fract_y
_atom_site_fract_z
Sc1 Sc 0.000 0.000 0.000
As1 As 0.493 0.500 0.827
Pb1 Pb 0.500 0.000 0.500
# * raw total energy: -5.330 eV per atom
# * formation enthalpy at 0 K: -48 kJ/mol of atoms

=====

# ScAs2Pb, optimized geometry, DFT PBE
data_ScAs2Pb
_chemical_formula_sum 'Sc2 As4 Pb2'
_space_group_name_H-M_alt 'C m m m'
_space_group_IT_number 65
_space_group_name_Hall '-C 2 2'
_cell_length_a 4.364
_cell_length_b 5.335
_cell_length_c 7.904
_cell_angle_alpha 90.00
_cell_angle_beta 90.00
_cell_angle_gamma 90.00
loop_
_atom_site_label
_atom_site_type_symbol
_atom_site_fract_x
_atom_site_fract_y
_atom_site_fract_z
Sc1 Sc 0.000 0.000 0.000
As1 As 0.000 0.500 0.206
Pb1 Pb 0.000 0.000 0.500
# * raw total energy: -5.251 eV per atom
# * formation enthalpy at 0 K: -40 kJ/mol of atoms

=====

# ScAs2Pb, optimized geometry, DFT PBE
data_ScAs2Pb
_chemical_formula_sum 'Sc1 As2 Pb1'
_space_group_name_H-M_alt 'P 4/m m m'
_space_group_IT_number 123
_space_group_name_Hall '-P 4 2'
_cell_length_a 3.611
_cell_length_b 3.611
_cell_length_c 6.940
_cell_angle_alpha 90.00
_cell_angle_beta 90.00
_cell_angle_gamma 90.00
loop_
_atom_site_label
_atom_site_type_symbol
_atom_site_fract_x
_atom_site_fract_y
_atom_site_fract_z
Sc1 Sc 0.000 0.000 0.000
As1 As 0.500 0.500 0.189
Pb1 Pb 0.000 0.000 0.500
# * raw total energy: -5.307 eV per atom
# * formation enthalpy at 0 K: -46 kJ/mol of atoms

=====

# ScAsPb, optimized geometry, DFT PBE
data_ScAsPb
_chemical_formula_sum 'Sc4 As4 Pb4'
_space_group_name_H-M_alt 'P 21 3'
_space_group_IT_number 198
_space_group_name_Hall 'P 2ac 2ab 3'
_cell_length_a 6.936
_cell_length_b 6.936
_cell_length_c 6.936
_cell_angle_alpha 90.00
_cell_angle_beta 90.00
_cell_angle_gamma 90.00
loop_
_atom_site_label
_atom_site_type_symbol
_atom_site_fract_x
_atom_site_fract_y
_atom_site_fract_z
Sc1 Sc 0.044 0.044 0.044
As1 As 0.155 0.845 0.345
Pb1 Pb 0.084 0.584 0.916
# * raw total energy: -5.213 eV per atom
# * formation enthalpy at 0 K: -31 kJ/mol of atoms

=====

# ScAs2Pb, optimized geometry, DFT PBE
data_ScAs2Pb
_chemical_formula_sum 'Sc4 As8 Pb4'
_space_group_name_H-M_alt 'F -4 3 m'
_space_group_IT_number 216
_space_group_name_Hall 'F -4 2 3'
_cell_length_a 7.128
_cell_length_b 7.128
_cell_length_c 7.128
_cell_angle_alpha 90.00
_cell_angle_beta 90.00
_cell_angle_gamma 90.00
loop_
_atom_site_label
_atom_site_type_symbol
_atom_site_fract_x
_atom_site_fract_y
_atom_site_fract_z
Sc1 Sc 0.000 0.000 0.000
As1 As 0.000 0.000 0.500
As2 As 0.250 0.250 0.750
Pb1 Pb 0.250 0.250 0.250
# * raw total energy: -4.801 eV per atom
# * formation enthalpy at 0 K: 3 kJ/mol of atoms

=====

# Sc3As2Pb, optimized geometry, DFT PBE
data_Sc3As2Pb
_chemical_formula_sum 'Sc12 As8 Pb4'
_space_group_name_H-M_alt 'C m c m'
_space_group_IT_number 63
_space_group_name_Hall '-C 2c 2'
_cell_length_a 4.929
_cell_length_b 11.762
_cell_length_c 9.317
_cell_angle_alpha 90.00
_cell_angle_beta 90.00
_cell_angle_gamma 90.00
loop_
_atom_site_label
_atom_site_type_symbol
_atom_site_fract_x
_atom_site_fract_y
_atom_site_fract_z
Sc1 Sc 0.000 0.108 0.250
Sc2 Sc 0.000 0.372 0.044
As1 As 0.000 0.000 0.000
As2 As 0.000 0.466 0.750
Pb1 Pb 0.000 0.214 0.750
# * raw total energy: -6.060 eV per atom
# * formation enthalpy at 0 K: -70 kJ/mol of atoms

=====

# Sc2AsPb2, optimized geometry, DFT PBE
data_Sc2AsPb2
_chemical_formula_sum 'Sc4 As2 Pb4'
_space_group_name_H-M_alt 'P 4/m b m'
_space_group_IT_number 127
_space_group_name_Hall '-P 4 2ab'
_cell_length_a 7.768
_cell_length_b 7.768
_cell_length_c 4.166
_cell_angle_alpha 90.00
_cell_angle_beta 90.00
_cell_angle_gamma 90.00
loop_
_atom_site_label
_atom_site_type_symbol
_atom_site_fract_x
_atom_site_fract_y
_atom_site_fract_z
Sc1 Sc 0.163 0.337 0.000
As1 As 0.000 0.000 0.500
Pb1 Pb 0.142 0.642 0.500
# * raw total energy: -5.098 eV per atom
# * formation enthalpy at 0 K: -15 kJ/mol of atoms

=====

# ScAsPb, optimized geometry, DFT PBE
data_ScAsPb
_chemical_formula_sum 'Sc2 As2 Pb2'
_space_group_name_H-M_alt 'I 4 m m'
_space_group_IT_number 107
_space_group_name_Hall 'I 4 -2'
_cell_length_a 3.690
_cell_length_b 3.690
_cell_length_c 11.191
_cell_angle_alpha 90.00
_cell_angle_beta 90.00
_cell_angle_gamma 90.00
loop_
_atom_site_label
_atom_site_type_symbol
_atom_site_fract_x
_atom_site_fract_y
_atom_site_fract_z
Sc1 Sc 0.000 0.000 0.000
As1 As 0.000 0.000 0.554
Pb1 Pb 0.000 0.000 0.294
# * raw total energy: -5.489 eV per atom
# * formation enthalpy at 0 K: -57 kJ/mol of atoms

=====

# ScAsPb4, optimized geometry, DFT PBE
data_ScAsPb4
_chemical_formula_sum 'Sc4 As4 Pb16'
_space_group_name_H-M_alt 'F -4 3 m'
_space_group_IT_number 216
_space_group_name_Hall 'F -4 2 3'
_cell_length_a 8.929
_cell_length_b 8.929
_cell_length_c 8.929
_cell_angle_alpha 90.00
_cell_angle_beta 90.00
_cell_angle_gamma 90.00
loop_
_atom_site_label
_atom_site_type_symbol
_atom_site_fract_x
_atom_site_fract_y
_atom_site_fract_z
Sc1 Sc 0.000 0.000 0.000
As1 As 0.250 0.250 0.750
Pb1 Pb 0.125 0.125 0.375
# * raw total energy: -3.993 eV per atom
# * formation enthalpy at 0 K: 30 kJ/mol of atoms